{
  "formula": "AcSiS4",
  "functional": "PBE-GGA",
  "state": "relaxed",
  "total_magnetization_mub_per_atom": 0.0001,
  "sg": "P2_1/m (11)",
  "de_polymorph_mev_per_atom": 0,
  "cell": [[5.949, 0.000, 0.000], [0.000, 9.409, 0.000], [-0.932, 0.000, 5.881]],
  "species": ["Ac", "Ac", "Si", "Si", "S", "S", "S", "S", "S", "S", "S", "S"],
  "frac_coords": [[0.141, 0.250, 0.145], [0.859, 0.750, 0.855], [0.366, 0.750, 0.361], [0.634, 0.250, 0.639], [0.195, 0.573, 0.190], [0.195, 0.927, 0.190], [0.284, 0.250, 0.667], [0.338, 0.750, 0.711], [0.662, 0.250, 0.289], [0.716, 0.750, 0.333], [0.805, 0.073, 0.810], [0.805, 0.427, 0.810]]
}

{
  "formula": "YCoBr2",
  "functional": "PBE-GGA",
  "state": "relaxed",
  "total_magnetization_mub_per_atom": 0.3161,
  "sg": "P4/mmm (123)",
  "de_polymorph_mev_per_atom": 501,
  "cell": [[4.605, 0.000, 0.000], [0.000, 4.605, 0.000], [0.000, 0.000, 3.854]],
  "species": ["Y", "Co", "Br", "Br"],
  "frac_coords": [[0.000, 0.000, 0.000], [0.500, 0.500, 0.000], [0.000, 0.500, 0.500], [0.500, 0.000, 0.500]]
}

{
  "formula": "Dy3Er4Sc2",
  "functional": "PBE-GGA",
  "state": "relaxed",
  "total_magnetization_mub_per_atom": 0.0001,
  "sg": "C2/c (15)",
  "formation_enthalpy_0k_mev_per_atom": 112.8,
  "cell": [[8.029, -5.629, 0.000], [8.029, 5.629, 0.000], [-0.697, 0.000, 5.871]],
  "species": ["Dy", "Dy", "Dy", "Dy", "Dy", "Dy", "Er", "Er", "Er", "Er", "Er", "Er", "Er", "Er", "Sc", "Sc", "Sc", "Sc"],
  "frac_coords": [[0.094, 0.906, 0.750], [0.226, 0.435, 0.930], [0.435, 0.226, 0.430], [0.565, 0.774, 0.570], [0.774, 0.565, 0.070], [0.906, 0.094, 0.250], [0.074, 0.340, 0.358], [0.310, 0.593, 0.485], [0.340, 0.074, 0.858], [0.407, 0.690, 0.015], [0.593, 0.310, 0.985], [0.660, 0.926, 0.142], [0.690, 0.407, 0.515], [0.926, 0.660, 0.642], [0.026, 0.746, 0.178], [0.254, 0.974, 0.322], [0.746, 0.026, 0.678], [0.974, 0.254, 0.822]]
}

{
  "formula": "Ac2RhAu",
  "functional": "PBE-GGA",
  "state": "relaxed",
  "total_magnetization_mub_per_atom": 0.0000,
  "sg": "P4/mmm (123)",
  "formation_enthalpy_0k_mev_per_atom": -655.9,
  "cell": [[3.802, 0.000, 0.000], [0.000, 3.802, 0.000], [0.000, 0.000, 7.692]],
  "species": ["Ac", "Ac", "Rh", "Au"],
  "frac_coords": [[0.000, 0.000, 0.234], [0.000, 0.000, 0.766], [0.500, 0.500, 0.000], [0.500, 0.500, 0.500]]
}

{
  "formula": "TeRuSN2",
  "functional": "PBE-GGA",
  "state": "relaxed",
  "total_magnetization_mub_per_atom": 0.1750,
  "sg": "P4/mmm (123)",
  "de_polymorph_mev_per_atom": 1002,
  "cell": [[3.574, 0.000, 0.000], [0.000, 3.574, 0.000], [0.000, 0.000, 7.286]],
  "species": ["Te", "Ru", "S", "N", "N"],
  "frac_coords": [[0.000, 0.000, 0.000], [0.500, 0.500, 0.000], [0.000, 0.000, 0.500], [0.000, 0.500, 0.500], [0.500, 0.000, 0.500]]
}

{
  "formula": "Tm2HfCl",
  "functional": "PBE-GGA",
  "state": "relaxed",
  "e_tot_ev_per_cell": -69.19,
  "total_magnetization_mub_per_atom": 0.0000,
  "sg": "R-3m (166)",
  "cell": [[3.457, 0.000, 0.000], [-1.729, 2.994, 0.000], [0.000, 0.000, 28.348]],
  "species": ["Tm", "Tm", "Tm", "Tm", "Tm", "Tm", "Hf", "Hf", "Hf", "Cl", "Cl", "Cl"],
  "frac_coords": [[0.000, 0.000, 0.244], [0.000, 0.000, 0.756], [0.333, 0.667, 0.422], [0.333, 0.667, 0.911], [0.667, 0.333, 0.089], [0.667, 0.333, 0.578], [0.000, 0.000, 0.000], [0.333, 0.667, 0.667], [0.667, 0.333, 0.333], [0.000, 0.000, 0.500], [0.333, 0.667, 0.167], [0.667, 0.333, 0.833]]
}

{
  "formula": "Ti6Tl2In",
  "functional": "PBE-GGA",
  "state": "relaxed",
  "total_magnetization_mub_per_atom": 0.0000,
  "sg": "Immm (71)",
  "formation_enthalpy_0k_mev_per_atom": 406.1,
  "cell": [[-2.475, 2.571, 7.193], [2.475, -2.571, 7.193], [2.475, 2.571, -7.193]],
  "species": ["Ti", "Ti", "Ti", "Ti", "Ti", "Ti", "Tl", "Tl", "In"],
  "frac_coords": [[0.056, 0.807, 0.249], [0.250, 0.000, 0.250], [0.442, 0.193, 0.249], [0.558, 0.807, 0.751], [0.750, 0.000, 0.750], [0.944, 0.193, 0.751], [0.120, 0.620, 0.500], [0.880, 0.380, 0.500], [0.500, 0.500, 0.000]]
}

{
  "formula": "Er3HfGa12",
  "functional": "PBE-GGA",
  "state": "relaxed",
  "total_magnetization_mub_per_atom": 0.0000,
  "sg": "P4/mmm (123)",
  "formation_enthalpy_0k_mev_per_atom": -488.1,
  "cell": [[4.201, 0.000, 0.000], [0.000, 4.201, 0.000], [0.000, 0.000, 16.932]],
  "species": ["Er", "Er", "Er", "Hf", "Ga", "Ga", "Ga", "Ga", "Ga", "Ga", "Ga", "Ga", "Ga", "Ga", "Ga", "Ga"],
  "frac_coords": [[0.000, 0.000, 0.000], [0.000, 0.000, 0.255], [0.000, 0.000, 0.745], [0.000, 0.000, 0.500], [0.000, 0.500, 0.127], [0.000, 0.500, 0.380], [0.000, 0.500, 0.620], [0.000, 0.500, 0.873], [0.500, 0.000, 0.127], [0.500, 0.000, 0.380], [0.500, 0.000, 0.620], [0.500, 0.000, 0.873], [0.500, 0.500, 0.000], [0.500, 0.500, 0.251], [0.500, 0.500, 0.500], [0.500, 0.500, 0.749]]
}